Entry 1:
Material: NbC3F
Method: DFT, PBE-GGA
State: relaxed

Summary:
Its space group is No. 221. The electronic total energy is -28.07 eV per formula unit. The value obtained for the formation energy from raw total energies is 2308 meV/atom. For the relative energy among the computed polymorphs, the calculation gives 245 meV per atom.

```
5
Lattice="3.6371 0.0000 0.0000 0.0000 3.6371 0.0000 0.0000 0.0000 3.6371" Properties=species:S:1:pos:R:3 pbc="T T T"
Nb 0.0000 0.0000 0.0000
C 0.0000 1.8185 1.8185
C 1.8185 0.0000 1.8185
C 1.8185 1.8185 0.0000
F 1.8185 1.8185 1.8185
```

***

Entry 2:
Material: CoCuPd3
Method: DFT, PBE-GGA
State: relaxed

Summary:
Its energy of formation from the pure elements is 0.893 eV/atom. Its space group is No. 221. The electronic total energy is -22.32 eV per formula unit. For the relative energy among the computed polymorphs, the calculation gives 914 meV per atom.

```
5
Lattice="4.5492 0.0000 0.0000 0.0000 4.5492 0.0000 0.0000 0.0000 4.5492" Properties=species:S:1:pos:R:3 pbc="T T T"
Co 0.0000 0.0000 0.0000
Cu 2.2746 2.2746 2.2746
Pd 0.0000 0.0000 2.2746
Pd 0.0000 2.2746 0.0000
Pd 2.2746 0.0000 0.0000
```

***

Entry 3:
Material: Pr3HoZn8
Method: DFT, PBE-GGA
State: relaxed

Summary:
Its energy of formation from the pure elements is -0.313 eV/atom. Its space group is No. 160. The electronic total energy is -32.86 eV per formula unit. For the relative energy among the computed polymorphs, the calculation gives 0 meV per atom.

```
12
Lattice="2.7896 1.6106 9.0674 -2.7896 1.6106 9.0674 0.0000 -3.2212 9.0674" Properties=species:S:1:pos:R:3 pbc="T T T"
Pr 0.0000 0.0000 0.0000
Pr 0.0000 0.0000 3.3988
Pr 0.0000 0.0000 17.0320
Ho 0.0000 0.0000 13.6397
Zn 0.0000 -1.6019 6.2134
Zn -1.3873 0.8010 6.2134
Zn -1.3833 -0.7987 10.8202
Zn 0.0000 0.0000 8.5230
Zn 1.3873 0.8010 6.2135
Zn 1.3833 -0.7987 10.8202
Zn 0.0000 1.5974 10.8202
Zn 0.0000 0.0000 22.1159
```

***

Entry 4:
Material: Ba2InSnPd6
Method: DFT, PBE-GGA
State: relaxed

Summary:
Its energy of formation from the pure elements is -0.557 eV/atom. Its space group is No. 12. The electronic total energy is -47.31 eV per formula unit.

```
10
Lattice="6.4737 -2.8964 0.0000 6.4737 2.8964 0.0000 -6.0984 0.0000 6.5682" Properties=species:S:1:pos:R:3 pbc="T T T"
Ba 1.9626 0.0000 1.3430
Ba 4.8865 0.0000 5.2253
In 6.4737 0.0000 0.0000
Sn -3.0492 0.0000 3.2841
Pd 1.7747 1.4255 4.7494
Pd -0.4201 0.0000 3.9435
Pd 5.0744 1.4255 1.8188
Pd 1.7747 -1.4255 4.7494
Pd 7.2692 0.0000 2.6248
Pd 5.0744 -1.4255 1.8188
```

***

Number 2 is which compound?
CoCuPd3

***

Look up the electronic total energy of the first one.
-28.07 eV per formula unit

***

Copy entry 3 word for word.
Material: Pr3HoZn8
Method: DFT, PBE-GGA
State: relaxed

Summary:
Its energy of formation from the pure elements is -0.313 eV/atom. Its space group is No. 160. The electronic total energy is -32.86 eV per formula unit. For the relative energy among the computed polymorphs, the calculation gives 0 meV per atom.

```
12
Lattice="2.7896 1.6106 9.0674 -2.7896 1.6106 9.0674 0.0000 -3.2212 9.0674" Properties=species:S:1:pos:R:3 pbc="T T T"
Pr 0.0000 0.0000 0.0000
Pr 0.0000 0.0000 3.3988
Pr 0.0000 0.0000 17.0320
Ho 0.0000 0.0000 13.6397
Zn 0.0000 -1.6019 6.2134
Zn -1.3873 0.8010 6.2134
Zn -1.3833 -0.7987 10.8202
Zn 0.0000 0.0000 8.5230
Zn 1.3873 0.8010 6.2135
Zn 1.3833 -0.7987 10.8202
Zn 0.0000 1.5974 10.8202
Zn 0.0000 0.0000 22.1159
```